1.
Below is a relaxed TbEr2Ga crystal, with properties calculated at the PBE-GGA level.

**E**: -4.481 eV per atom
**Total magnetization**: 0.00 μB/f.u.
**Calculated density**: 8.7 g/cm3
**V**: 108.0 Å³/f.u.
**Formation energy**: -0.29 eV/atom
**Crystal system**: tetragonal
**Energy relative to the lowest polymorph listed for this composition**: 0.0 meV per atom

abc: 3.498 3.498 8.824
angles: 90.00 90.00 90.00
Space group P4/mmm (No. 123)
Asymmetric unit:
Tb1 0.000 0.000 0.000 [1 per cell]
Er1 0.500 0.500 0.291 [2 per cell]
Ga1 0.000 0.000 0.500 [1 per cell]

2.
Below is a relaxed Hf5GaC crystal, with properties calculated at the PBE-GGA level.

**E**: -9.107 eV per atom
**Total magnetization**: 0.00 μB/f.u.
**Calculated density**: 12.1 g/cm3
**V**: 133.8 Å³/f.u.
**Formation energy**: -0.25 eV/atom
**Crystal system**: monoclinic

abc: 10.051 5.936 9.528
angles: 90.00 109.66 90.00
Space group C2/c (No. 15)
Asymmetric unit:
Hf1 0.000 0.045 0.250 [4 per cell]
Hf2 0.118 0.318 0.036 [8 per cell]
Hf3 0.201 0.181 0.631 [8 per cell]
Ga1 0.000 0.470 0.750 [4 per cell]
C1 0.000 0.000 0.000 [4 per cell]

3.
Below is a relaxed ZnSbTe2As crystal, with properties calculated at the PBE-GGA level.

**E**: -2.649 eV per atom
**Total magnetization**: 0.00 μB/f.u.
**Calculated density**: 5.2 g/cm3
**V**: 163.7 Å³/f.u.
**Crystal system**: tetragonal
**Energy relative to the lowest polymorph listed for this composition**: 0.0 meV per atom
**E_form (uncorrected)**: 298 kJ/mol of formula units

abc: 5.545 5.545 5.323
angles: 90.00 90.00 90.00
Space group P4/mmm (No. 123)
Asymmetric unit:
Zn1 0.000 0.000 0.000 [1 per cell]
Sb1 0.500 0.500 0.000 [1 per cell]
Te1 0.000 0.500 0.500 [2 per cell]
As1 0.500 0.500 0.500 [1 per cell]

4.
Below is a relaxed Mn2CrHIr crystal, with properties calculated at the PBE-GGA level.

**E**: -8.167 eV per atom
**Total magnetization**: 1.64 μB/f.u.
**Calculated density**: 11.4 g/cm3
**V**: 51.7 Å³/f.u.
**Crystal system**: tetragonal
**Energy relative to the lowest polymorph listed for this composition**: 0.0 meV per atom

abc: 3.707 3.707 3.762
angles: 90.00 90.00 90.00
Space group P4/mmm (No. 123)
Asymmetric unit:
Mn1 0.000 0.500 0.000 [2 per cell]
Cr1 0.000 0.000 0.500 [1 per cell]
H1 0.000 0.000 0.000 [1 per cell]
Ir1 0.500 0.500 0.500 [1 per cell]

5.
Below is a relaxed TiSbNF2 crystal, with properties calculated at the PBE-GGA level.

**E**: -6.087 eV per atom
**Total magnetization**: 0.68 μB/f.u.
**Calculated density**: 5.4 g/cm3
**V**: 68.1 Å³/f.u.
**Crystal system**: tetragonal
**Energy relative to the lowest polymorph listed for this composition**: 0.0 meV per atom
**E_form (uncorrected)**: -613 kJ/mol of formula units

abc: 4.074 4.074 4.103
angles: 90.00 90.00 90.00
Space group P4/mmm (No. 123)
Asymmetric unit:
Ti1 0.000 0.000 0.000 [1 per cell]
Sb1 0.500 0.500 0.500 [1 per cell]
N1 0.000 0.000 0.500 [1 per cell]
F1 0.000 0.500 0.000 [2 per cell]

6.
Below is a relaxed Cd2Pt2Rh crystal, with properties calculated at the PBE-GGA level.

**E**: -4.290 eV per atom
**Total magnetization**: 0.00 μB/f.u.
**Calculated density**: 12.9 g/cm3
**V**: 92.7 Å³/f.u.
**Formation energy**: -0.04 eV/atom
**Crystal system**: tetragonal

abc: 6.791 6.791 4.021
angles: 90.00 90.00 90.00
Space group P4/mbm (No. 127)
Asymmetric unit:
Cd1 0.172 0.328 0.000 [4 per cell]
Pt1 0.133 0.633 0.500 [4 per cell]
Rh1 0.000 0.000 0.500 [2 per cell]

Copy entry 1 word for word.
Below is a relaxed TbEr2Ga crystal, with properties calculated at the PBE-GGA level.

**E**: -4.481 eV per atom
**Total magnetization**: 0.00 μB/f.u.
**Calculated density**: 8.7 g/cm3
**V**: 108.0 Å³/f.u.
**Formation energy**: -0.29 eV/atom
**Crystal system**: tetragonal
**Energy relative to the lowest polymorph listed for this composition**: 0.0 meV per atom

abc: 3.498 3.498 8.824
angles: 90.00 90.00 90.00
Space group P4/mmm (No. 123)
Asymmetric unit:
Tb1 0.000 0.000 0.000 [1 per cell]
Er1 0.500 0.500 0.291 [2 per cell]
Ga1 0.000 0.000 0.500 [1 per cell]